Here is a geometry-optimized Sr2TaHg structure from Alexandria. Energies are from PBE-GGA.

Values from the calculation:
mass density	7.99	g/cm³
energy relative to the elements	0.475	eV per atom
SG	No. 123
final energy	-13.616	eV for the cell shown
size of the total moment	0.0	Bohr magnetons per cell

```
4
Lattice="3.4546 0.0000 0.0000 0.0000 3.4546 0.0000 0.0000 0.0000 9.6962" Properties=species:S:1:pos:R:3 pbc="T T T"
Hg 1.7273 1.7273 7.2722
Sr 0.0000 0.0000 9.6941
Sr 0.0000 0.0000 4.8502
Ta 1.7273 1.7273 2.4241
```